(1)
## Nb2CoRh5 (PBE-GGA)

Data for a relaxed Nb2CoRh5 crystal.

a = 5.4772 Å, b = 10.9412 Å, c = 3.8618 Å
α = 90.00°, β = 90.00°, γ = 90.00°
Last column: nearest neighbours and their distance in Å.
Element x y z (fractional)
Nb: 0.2458 0.1220 0.0000  10 Rh 2.67-2.80, 2 Co 2.71
Nb: 0.2542 0.6220 0.0000  10 Rh 2.67-2.80, 2 Co 2.71
Nb: 0.7458 0.3780 0.0000  10 Rh 2.67-2.80, 2 Co 2.71
Nb: 0.7542 0.8780 0.0000  10 Rh 2.67-2.80, 2 Co 2.71
Co: 0.0000 0.0000 0.5000  8 Rh 2.70-2.74, 4 Nb 2.71
Co: 0.5000 0.5000 0.5000  8 Rh 2.70-2.74, 4 Nb 2.71
Rh: 0.0000 0.5000 0.5000  4 Nb 2.73, 6 Rh 2.74-2.76, 2 Co 2.74
Rh: 0.0046 0.2480 0.5000  1 Co 2.71, 4 Nb 2.72-2.79, 7 Rh 2.73-2.77
Rh: 0.2423 0.8782 0.0000  4 Nb 2.67-2.80, 2 Co 2.70, 6 Rh 2.73-2.77
Rh: 0.2577 0.3782 0.0000  4 Nb 2.67-2.80, 2 Co 2.70, 6 Rh 2.73-2.77
Rh: 0.4954 0.7480 0.5000  1 Co 2.71, 4 Nb 2.72-2.79, 7 Rh 2.73-2.77
Rh: 0.5000 0.0000 0.5000  4 Nb 2.73, 6 Rh 2.74-2.76, 2 Co 2.74
Rh: 0.5046 0.2520 0.5000  1 Co 2.71, 4 Nb 2.72-2.79, 7 Rh 2.73-2.77
Rh: 0.7423 0.6218 0.0000  4 Nb 2.67-2.80, 2 Co 2.70, 6 Rh 2.73-2.77
Rh: 0.7577 0.1218 0.0000  4 Nb 2.67-2.80, 2 Co 2.70, 6 Rh 2.73-2.77
Rh: 0.9954 0.7520 0.5000  1 Co 2.71, 4 Nb 2.72-2.79, 7 Rh 2.73-2.77

Properties
Space-group type: Pbam, No. 55
Energy relative to the elements (eV per atom): -0.4495



(2)
## Nb2MoAu (PBE-GGA)

Data for a relaxed Nb2MoAu crystal.

a = 6.5521 Å, b = 6.5521 Å, c = 6.5521 Å
α = 90.00°, β = 90.00°, γ = 90.00°
Last column: nearest neighbours and their distance in Å.
Element x y z (fractional)
Nb: 0.2500 0.2500 0.2500  4 Mo 2.84, 4 Au 2.84
Nb: 0.2500 0.2500 0.7500  4 Mo 2.84, 4 Au 2.84
Nb: 0.2500 0.7500 0.2500  4 Mo 2.84, 4 Au 2.84
Nb: 0.2500 0.7500 0.7500  4 Mo 2.84, 4 Au 2.84
Nb: 0.7500 0.2500 0.2500  4 Mo 2.84, 4 Au 2.84
Nb: 0.7500 0.2500 0.7500  4 Mo 2.84, 4 Au 2.84
Nb: 0.7500 0.7500 0.2500  4 Mo 2.84, 4 Au 2.84
Nb: 0.7500 0.7500 0.7500  4 Mo 2.84, 4 Au 2.84
Mo: 0.0000 0.0000 0.0000  8 Nb 2.84
Mo: 0.0000 0.5000 0.5000  8 Nb 2.84
Mo: 0.5000 0.0000 0.5000  8 Nb 2.84
Mo: 0.5000 0.5000 0.0000  8 Nb 2.84
Au: 0.0000 0.0000 0.5000  8 Nb 2.84
Au: 0.0000 0.5000 0.0000  8 Nb 2.84
Au: 0.5000 0.0000 0.0000  8 Nb 2.84
Au: 0.5000 0.5000 0.5000  8 Nb 2.84

Properties
Space-group type: Fm-3m, No. 225
Distance to the lowest polymorph of the same formula (eV per atom): 0.141
Energy relative to the elements (eV per atom): 0.0680



(3)
## PAuO2F (PBE-GGA)

Data for a relaxed PAuO2F crystal.

a = 3.3754 Å, b = 3.3754 Å, c = 6.3765 Å
α = 90.00°, β = 90.00°, γ = 90.00°
Last column: nearest neighbours and their distance in Å.
Element x y z (fractional)
P: 0.0000 0.0000 0.0000  4 O 1.69
Au: 0.5000 0.5000 0.5000  4 F 2.39
O: 0.0000 0.5000 0.0000  2 P 1.69
O: 0.5000 0.0000 0.0000  2 P 1.69
F: 0.0000 0.0000 0.5000  4 Au 2.39

Properties
Space-group type: P4/mmm, No. 123
Formation energy without anion corrections (eV per atom): -0.5448



| no. | magnetization (μB/f.u.) | ρ (kg/m³) |
| --- | --- | --- |
| 1 | 0.00 | 10896 |
| 2 | 0.00 | 11304 |
| 3 | 0.00 | 6376 |